[1]
A relaxed structure of ZnAs2O4. Source: Alexandria via LeMat-Bulk, functional PBE.

abc: 4.650 5.121 18.553
angles: 90.00 90.08 90.00
Space group P2_1/c (No. 14)
Asymmetric unit:
Zn  0.246  0.011  0.248 [4 per cell]
As  0.017  0.724  0.098 [4 per cell]
As  0.486  0.711  0.900 [4 per cell]
O  0.004  0.239  0.806 [4 per cell]
O  0.106  0.618  0.906 [4 per cell]
O  0.396  0.631  0.089 [4 per cell]
O  0.498  0.233  0.696 [4 per cell]

Properties
formation energy without anion corrections = -1294 meV/atom
ρ = 4.2 g cm⁻³
final energy = -5.64 eV/atom
relative energy among the computed polymorphs = 0 kJ/mol of formula units
crystal system = monoclinic
DOS(E_F) = 0.00 states/eV per cell

[2]
A relaxed structure of ZnAs2O4. Source: Alexandria via LeMat-Bulk, functional PBE.

abc: 8.560 8.560 5.803
angles: 90.00 90.00 90.00
Space group P4_2/mbc (No. 135)
Asymmetric unit:
Zn  0.000  0.500  0.250 [4 per cell]
As  0.170  0.193  0.000 [8 per cell]
O  0.102  0.364  0.500 [8 per cell]
O  0.189  0.689  0.250 [8 per cell]

Properties
formation energy without anion corrections = -1259 meV/atom
ρ = 4.4 g cm⁻³
final energy = -5.60 eV/atom
relative energy among the computed polymorphs = 24 kJ/mol of formula units
crystal system = tetragonal
DOS(E_F) = 0.00 states/eV per cell

[3]
A relaxed structure of Zn2AsO5. Source: Alexandria via LeMat-Bulk, functional PBE.

abc: 5.774 5.858 6.764
angles: 74.12 74.64 88.08
Space group P-1 (No. 2)
Asymmetric unit:
Zn  0.025  0.237  0.300 [2 per cell]
Zn  0.390  0.747  0.999 [2 per cell]
As  0.183  0.258  0.761 [2 per cell]
O  0.043  0.758  0.003 [2 per cell]
O  0.079  0.112  0.609 [2 per cell]
O  0.242  0.551  0.630 [2 per cell]
O  0.348  0.398  0.175 [2 per cell]
O  0.429  0.113  0.831 [2 per cell]

Properties
formation energy without anion corrections = -1118 meV/atom
ρ = 4.5 g cm⁻³
final energy = -5.12 eV/atom
relative energy among the computed polymorphs = 31 kJ/mol of formula units
crystal system = triclinic
DOS(E_F) = 6.06 states/eV per cell

[4]
A relaxed structure of Zn2AsO5. Source: Alexandria via LeMat-Bulk, functional PBE.

abc: 8.489 8.606 6.071
angles: 90.00 90.00 90.00
Space group Pnnm (No. 58)
Asymmetric unit:
Zn  0.000  0.000  0.246 [4 per cell]
Zn  0.144  0.373  0.500 [4 per cell]
As  0.242  0.749  0.500 [4 per cell]
O  0.098  0.606  0.500 [4 per cell]
O  0.129  0.924  0.000 [4 per cell]
O  0.137  0.923  0.500 [4 per cell]
O  0.143  0.235  0.232 [8 per cell]

Properties
formation energy without anion corrections = -1157 meV/atom
ρ = 4.3 g cm⁻³
final energy = -5.16 eV/atom
relative energy among the computed polymorphs = 0 kJ/mol of formula units
crystal system = orthorhombic
DOS(E_F) = 15.26 states/eV per cell

[5]
A relaxed structure of ZnAsO2. Source: Alexandria via LeMat-Bulk, functional PBE.

abc: 5.644 5.644 5.644
angles: 90.00 90.00 90.00
Space group Fm-3m (No. 225)
Asymmetric unit:
Zn  0.000  0.000  0.000 [4 per cell]
As  0.000  0.000  0.500 [4 per cell]
O  0.250  0.250  0.250 [8 per cell]

Properties
formation energy without anion corrections = -193 meV/atom
ρ = 6.4 g cm⁻³
final energy = -4.15 eV/atom
relative energy among the computed polymorphs = 269 kJ/mol of formula units
crystal system = cubic
DOS(E_F) = 3.70 states/eV per cell

[6]
A relaxed structure of ZnAs2O. Source: Alexandria via LeMat-Bulk, functional PBE.

abc: 6.184 6.184 6.184
angles: 90.00 90.00 90.00
Space group Fm-3m (No. 225)
Asymmetric unit:
Zn  0.000  0.000  0.000 [4 per cell]
As  0.250  0.250  0.250 [8 per cell]
O  0.000  0.000  0.500 [4 per cell]

Properties
formation energy without anion corrections = 353 meV/atom
ρ = 6.5 g cm⁻³
final energy = -3.53 eV/atom
relative energy among the computed polymorphs = 143 kJ/mol of formula units
crystal system = cubic
DOS(E_F) = 11.51 states/eV per cell

Repeat the first record exactly.
A relaxed structure of ZnAs2O4. Source: Alexandria via LeMat-Bulk, functional PBE.

abc: 4.650 5.121 18.553
angles: 90.00 90.08 90.00
Space group P2_1/c (No. 14)
Asymmetric unit:
Zn  0.246  0.011  0.248 [4 per cell]
As  0.017  0.724  0.098 [4 per cell]
As  0.486  0.711  0.900 [4 per cell]
O  0.004  0.239  0.806 [4 per cell]
O  0.106  0.618  0.906 [4 per cell]
O  0.396  0.631  0.089 [4 per cell]
O  0.498  0.233  0.696 [4 per cell]

Properties
formation energy without anion corrections = -1294 meV/atom
ρ = 4.2 g cm⁻³
final energy = -5.64 eV/atom
relative energy among the computed polymorphs = 0 kJ/mol of formula units
crystal system = monoclinic
DOS(E_F) = 0.00 states/eV per cell

> Which of these has the highest formation energy without anion corrections?

ZnAs2O

Repeat the third record exactly.
A relaxed structure of Zn2AsO5. Source: Alexandria via LeMat-Bulk, functional PBE.

abc: 5.774 5.858 6.764
angles: 74.12 74.64 88.08
Space group P-1 (No. 2)
Asymmetric unit:
Zn  0.025  0.237  0.300 [2 per cell]
Zn  0.390  0.747  0.999 [2 per cell]
As  0.183  0.258  0.761 [2 per cell]
O  0.043  0.758  0.003 [2 per cell]
O  0.079  0.112  0.609 [2 per cell]
O  0.242  0.551  0.630 [2 per cell]
O  0.348  0.398  0.175 [2 per cell]
O  0.429  0.113  0.831 [2 per cell]

Properties
formation energy without anion corrections = -1118 meV/atom
ρ = 4.5 g cm⁻³
final energy = -5.12 eV/atom
relative energy among the computed polymorphs = 31 kJ/mol of formula units
crystal system = triclinic
DOS(E_F) = 6.06 states/eV per cell